1.
# NaAl2Ge

NaAl2Ge after structural relaxation (PBE-GGA, the Alexandria database).

Properties
formation enthalpy at 0 K	18.9	kJ per mole of atoms
total moment	0.00	μB/f.u.
symmetry	I-42d (122)

a b c (Å): 8.0759 8.0759 5.4651
angles (deg): 90.00 90.00 90.00
Positions (direct):
1 Na 0.0000 0.0000 0.0000
2 Na 0.0000 0.5000 0.2500
3 Na 0.5000 0.0000 0.7500
4 Na 0.5000 0.5000 0.5000
5 Al 0.1811 0.2500 0.6250
6 Al 0.2500 0.6811 0.8750
7 Al 0.2500 0.8189 0.3750
8 Al 0.3189 0.2500 0.1250
9 Al 0.6811 0.7500 0.1250
10 Al 0.7500 0.1811 0.3750
11 Al 0.7500 0.3189 0.8750
12 Al 0.8189 0.7500 0.6250
13 Ge 0.0000 0.0000 0.5000
14 Ge 0.0000 0.5000 0.7500
15 Ge 0.5000 0.0000 0.2500
16 Ge 0.5000 0.5000 0.0000

=====

2.
# NaAlGe

NaAlGe after structural relaxation (PBE-GGA, the Alexandria database).

Properties
formation enthalpy at 0 K	-1.4	kJ per mole of atoms
total moment	0.00	μB/f.u.
symmetry	Ima2 (46)

a b c (Å): 4.6106 7.4993 7.5002
angles (deg): 90.00 90.00 90.00
Positions (direct):
1 Na 0.2500 0.1782 0.0000
2 Na 0.2500 0.3218 0.5000
3 Na 0.7500 0.6782 0.5000
4 Na 0.7500 0.8218 0.0000
5 Al 0.2500 0.5904 0.8281
6 Al 0.2500 0.9096 0.3281
7 Al 0.7500 0.0904 0.3281
8 Al 0.7500 0.4096 0.8281
9 Ge 0.2500 0.5956 0.1797
10 Ge 0.2500 0.9044 0.6797
11 Ge 0.7500 0.0956 0.6797
12 Ge 0.7500 0.4044 0.1797